[1]
{"formula": "CaCoPt2", "functional": "GGA-PBE", "state": "relaxed", "lattice_angstrom": [[9.0702, 0.0479, 0.0282], [8.5810, 2.9390, 0.0282], [8.5810, 1.4521, 2.5554]], "species": ["Co", "Pt", "Pt", "Ca"], "frac_coords": [[0.7500, 0.7500, 0.7500], [0.4929, 0.4929, 0.4929], [0.0071, 0.0071, 0.0071], [0.2500, 0.2500, 0.2500]], "dos_at_fermi_per_ev_atom": 1.024, "vol_a3_per_atom": 16.6, "final_energy_ev_per_atom": -5.275}

***

[2]
{"formula": "Ca3CoPt", "functional": "GGA-PBE", "state": "relaxed", "lattice_angstrom": [[5.4579, 0.0000, 0.0000], [0.0000, 5.4579, 0.0000], [0.0000, 0.0000, 5.4579]], "species": ["Ca", "Ca", "Ca", "Co", "Pt"], "frac_coords": [[0.5000, 0.0000, 0.0000], [0.0000, 0.0000, 0.5000], [0.0000, 0.5000, 0.0000], [0.5000, 0.5000, 0.5000], [0.0000, 0.0000, 0.0000]], "dos_at_fermi_per_ev_atom": 2.758, "vol_a3_per_atom": 32.5, "final_energy_ev_per_atom": -3.698}

***

[3]
{"formula": "CaCoTc2Pt", "functional": "GGA-PBE", "state": "relaxed", "lattice_angstrom": [[-2.3097, 3.6014, -1.1034], [-4.1198, -2.2880, 1.1559], [0.3376, 1.4870, 4.1469]], "species": ["Pt", "Co", "Tc", "Tc", "Ca"], "frac_coords": [[0.0000, 0.5000, 0.0000], [0.0000, 0.0000, 0.0000], [0.0000, 0.0000, 0.5000], [0.5000, 0.0000, 0.0000], [0.5000, 0.5000, 0.5000]], "dos_at_fermi_per_ev_atom": 1.333, "vol_a3_per_atom": 18.9, "final_energy_ev_per_atom": -6.473}

***

[4]
{"formula": "CaTiCoPt2", "functional": "GGA-PBE", "state": "relaxed", "lattice_angstrom": [[4.6765, 0.0000, 0.0000], [0.0000, 5.1085, 0.0000], [0.0000, 0.0000, 4.6765]], "species": ["Ca", "Pt", "Pt", "Ti", "Co"], "frac_coords": [[0.0000, 0.5000, 0.0000], [0.0000, 0.0000, 0.5000], [0.5000, 0.0000, 0.0000], [0.0000, 0.0000, 0.0000], [0.5000, 0.5000, 0.5000]], "dos_at_fermi_per_ev_atom": 0.992, "vol_a3_per_atom": 22.3, "final_energy_ev_per_atom": -4.985}

***

Formation enthalpy at 0 K across the listed records, respectively: 0.02 0.13 0.70 0.83 eV/atom.